Compound: Cs2CoO2
Source: Alexandria via LeMat-Bulk
Functional: GGA+U
Structure: relaxed

Geometry as CIF:
```
data_Cs2CoO2
_cell_length_a 13.2129
_cell_length_b 5.9902
_cell_length_c 8.7907
_cell_angle_alpha 90.00
_cell_angle_beta 129.20
_cell_angle_gamma 90.00
_space_group_name_H-M_alt 'C 1 2/m 1'
_space_group_IT_number 12
_space_group_name_Hall '-C 2y'
loop_
_atom_site_label
_atom_site_type_symbol
_atom_site_fract_x
_atom_site_fract_y
_atom_site_fract_z
_atom_site_occupancy
Cs1 Cs 0.0674 0.0000 0.2997 1
Cs2 Cs 0.1795 0.5000 0.0717 1
Co1 Co 0.1235 0.5000 0.6390 1
O1 O 0.0234 0.5000 0.3636 1
O2 O 0.2089 0.0000 0.1462 1
```

Properties
- Total energy: -4.459 eV per atom
- Crystal system: monoclinic